No. 1
Compound: Mg3Ag2
Source: the Alexandria database
Functional: PBE
Structure: relaxed

Summary:
Relative energy among the computed polymorphs = 175 meV per atom
Energy relative to the elements = -0.03 eV/atom

Lattice parameters (Å, degrees): 5.8868 5.8868 21.3056 90.00 90.00 120.00
Space group R-3c (No. 167, hexagonal axes)
Inequivalent atoms, fractional coordinates:
Mg: 0.0000 0.4391 0.2500 [18 per cell]
Ag: 0.0000 0.0000 0.1850 [12 per cell]

=====

No. 2
Compound: Y6Zn2Te
Source: the Alexandria database
Functional: PBE
Structure: relaxed

Summary:
DFT total energy = -5.30 eV per atom

Lattice parameters (Å, degrees): 9.722 10.040 10.146 90.00 90.00 90.00
Space group Immm (No. 71)
Inequivalent atoms, fractional coordinates:
Y: 0.000 0.176 0.212 [8 per cell]
Y: 0.179 0.500 0.232 [8 per cell]
Y: 0.211 0.252 0.500 [8 per cell]
Zn: 0.000 0.375 0.000 [4 per cell]
Zn: 0.132 0.000 0.000 [4 per cell]
Te: 0.000 0.000 0.500 [2 per cell]
Te: 0.000 0.500 0.500 [2 per cell]

=====

No. 3
Compound: Sc3TlH
Source: the Alexandria database
Functional: PBE
Structure: relaxed

Summary:
Relative energy among the computed polymorphs = 116 meV per atom

Lattice parameters (Å, degrees): 3.4153 3.4153 19.7867 90.00 90.00 120.00
Space group P6_3/mmc (No. 194)
Inequivalent atoms, fractional coordinates:
Sc: 0.0000 0.0000 0.2500 [2 per cell]
Sc: 0.3333 0.6667 0.1239 [4 per cell]
Tl: 0.0000 0.0000 0.0000 [2 per cell]
H: 0.3333 0.6667 0.2500 [2 per cell]

=====

No. 4
Compound: Sm2HgPb4
Source: the Alexandria database
Functional: PBE
Structure: relaxed

Summary:
Relative energy among the computed polymorphs = 0 meV per atom
Energy relative to the elements = -0.33 eV/atom

Lattice parameters (Å, degrees): 9.217 9.680 4.774 90.00 90.00 90.00
Space group Cmmm (No. 65)
Inequivalent atoms, fractional coordinates:
Sm: 0.000 0.240 0.000 [4 per cell]
Hg: 0.000 0.000 0.500 [2 per cell]
Pb: 0.231 0.500 0.000 [4 per cell]
Pb: 0.250 0.250 0.500 [4 per cell]

=====

No. 5
Compound: NaLi2Y
Source: the Alexandria database
Functional: PBE
Structure: relaxed

Summary:
Relative energy among the computed polymorphs = 96 meV per atom
Energy relative to the elements = 0.22 eV/atom

Lattice parameters (Å, degrees): 3.3135 3.3135 35.9431 90.00 90.00 120.00
Space group R-3m (No. 166, hexagonal axes)
Inequivalent atoms, fractional coordinates:
Na: 0.0000 0.0000 0.0000 [3 per cell]
Li: 0.0000 0.0000 0.4139 [6 per cell]
Y: 0.0000 0.0000 0.5000 [3 per cell]

=====

No. 6
Compound: SmYSb2
Source: the Alexandria database
Functional: PBE
Structure: relaxed

Summary:
Relative energy among the computed polymorphs = 0 meV per atom

Lattice parameters (Å, degrees): 4.4335 4.4335 21.6920 90.00 90.00 120.00
Space group R-3m (No. 166, hexagonal axes)
Inequivalent atoms, fractional coordinates:
Sm: 0.0000 0.0000 0.0000 [3 per cell]
Y: 0.0000 0.0000 0.5000 [3 per cell]
Sb: 0.0000 0.0000 0.2482 [6 per cell]

=====

No. 7
Compound: P2RhO8
Source: the Alexandria database
Functional: PBE
Structure: relaxed

Summary:
DFT total energy = -6.59 eV per atom

Lattice parameters (Å, degrees): 7.658 10.233 4.832 90.00 111.02 90.00
Space group C2/m (No. 12)
Inequivalent atoms, fractional coordinates:
P: 0.237 0.000 0.213 [4 per cell]
Rh: 0.000 0.000 0.500 [2 per cell]
O: 0.035 0.500 0.665 [4 per cell]
O: 0.153 0.118 0.327 [8 per cell]
O: 0.213 0.000 0.885 [4 per cell]

=====

No. 8
Compound: LiErAlPd
Source: the Alexandria database
Functional: PBE
Structure: relaxed

Summary:
Energy relative to the elements = -0.60 eV/atom

Lattice parameters (Å, degrees): 6.590 6.590 6.590 90.00 90.00 90.00
Space group F-43m (No. 216)
Inequivalent atoms, fractional coordinates:
Li: 0.000 0.000 0.000 [4 per cell]
Er: 0.250 0.250 0.750 [4 per cell]
Al: 0.250 0.250 0.250 [4 per cell]
Pd: 0.000 0.000 0.500 [4 per cell]

=====

No. 9
Compound: MnCdBRh2
Source: the Alexandria database
Functional: PBE
Structure: relaxed

Summary:
Energy relative to the elements = -0.19 eV/atom

Lattice parameters (Å, degrees): 4.157 4.157 4.097 90.00 90.00 90.00
Space group P4/mmm (No. 123)
Inequivalent atoms, fractional coordinates:
Mn: 0.000 0.000 0.000 [1 per cell]
Cd: 0.500 0.500 0.000 [1 per cell]
B: 0.000 0.000 0.500 [1 per cell]
Rh: 0.000 0.500 0.500 [2 per cell]

=====

No. 10
Compound: CsNbW3
Source: the Alexandria database
Functional: PBE
Structure: relaxed

Summary:
Relative energy among the computed polymorphs = 1266 meV per atom
Energy relative to the elements = 3.86 eV/atom

Lattice parameters (Å, degrees): 4.859 4.859 4.859 90.00 90.00 90.00
Space group Pm-3m (No. 221)
Inequivalent atoms, fractional coordinates:
Cs: 0.000 0.000 0.000 [1 per cell]
Nb: 0.500 0.500 0.500 [1 per cell]
W: 0.000 0.000 0.500 [3 per cell]